No. 1
PBE-GGA La3PmTm8, relaxed; density of states at the Fermi level = 1.4882 states/eV/atom; SG = I-42m (121); energy of formation from the pure elements = 0.6200 eV/atom; magnetization = 0.00 μB per atom
1.0
7.577 -0.386 -3.530
-4.402 6.997 -1.296
-0.243 0.386 8.355
La Pm Tm
3 1 8
direct
0.500 0.750 0.250 La
0.500 0.250 0.750 La
0.000 0.500 0.500 La
0.000 0.000 0.000 Pm
0.492 0.238 0.238 Tm
0.508 0.746 0.746 Tm
0.000 0.762 0.254 Tm
0.000 0.254 0.762 Tm
0.248 0.371 0.371 Tm
0.752 0.122 0.122 Tm
0.000 0.629 0.878 Tm
0.000 0.878 0.629 Tm

=====

No. 2
PBE-GGA Cr2Ag, relaxed; density of states at the Fermi level = 0.6492 states/eV/atom; SG = C2/m (12); energy of formation from the pure elements = 0.4100 eV/atom; magnetization = 0.00 μB per atom
1.0
3.377 -3.165 -1.658
4.775 -0.783 -0.869
3.076 -3.481 5.058
Cr Ag
4 2
direct
0.006 0.006 0.199 Cr
0.348 0.348 0.038 Cr
0.652 0.652 0.962 Cr
0.994 0.994 0.801 Cr
0.337 0.337 0.592 Ag
0.663 0.663 0.408 Ag

=====

No. 3
PBE-GGA FeNiW, relaxed; density of states at the Fermi level = 0.7279 states/eV/atom; SG = P-6m2 (187); energy of formation from the pure elements = 0.0928 eV/atom; magnetization = 0.73 μB per atom
1.0
-1.236 1.649 -3.609
3.005 -2.870 0.052
-1.762 -1.850 -0.242
Fe Ni W
1 1 1
direct
0.000 0.000 0.166 Fe
0.667 0.333 0.167 Ni
0.333 0.667 0.667 W

=====

No. 4
PBE-GGA ZnInSe2, relaxed; density of states at the Fermi level = 0.1519 states/eV/atom; formation energy from raw total energies = -166.4 meV per atom; SG = I-4m2 (119); magnetization = 0.00 μB per atom
1.0
-5.541 -1.066 5.542
-6.691 -4.043 1.199
7.537 0.508 -2.344
In Se Zn
1 2 1
direct
0.750 0.250 0.500 In
0.000 0.000 0.000 Se
0.250 0.750 0.500 Se
0.500 0.500 0.000 Zn

=====

No. 5
PBE-GGA ZnW2Cl, relaxed; density of states at the Fermi level = 0.7838 states/eV/atom; formation energy from raw total energies = 954.4 meV per atom; SG = I-42d (122); magnetization = 0.00 μB per atom
1.0
3.792 0.000 0.000
0.000 3.792 0.000
1.896 1.896 9.808
Zn W Cl
2 4 2
direct
0.000 0.000 0.000 Zn
0.750 0.250 0.500 Zn
0.649 0.125 0.250 W
0.101 0.625 0.250 W
0.375 0.351 0.750 W
0.875 0.899 0.750 W
0.500 0.500 0.000 Cl
0.250 0.750 0.500 Cl

=====

No. 6
PBE-GGA LaDyPaO6, relaxed; density of states at the Fermi level = 0.9365 states/eV/atom; formation energy from raw total energies = -3177.2 meV per atom; SG = P312 (149); magnetization = 0.07 μB per atom
1.0
-4.269 -0.548 -1.858
2.457 -1.375 -5.238
-1.170 -4.287 3.952
La Dy Pa O
1 1 1 6
direct
0.500 0.667 0.333 La
0.500 0.000 0.000 Dy
0.000 0.333 0.667 Pa
0.747 0.653 0.682 O
0.747 0.318 0.970 O
0.747 0.030 0.347 O
0.253 0.318 0.347 O
0.253 0.653 0.970 O
0.253 0.030 0.682 O

=====

No. 7
PBE-GGA BaTl7Pd5, relaxed; density of states at the Fermi level = 0.7068 states/eV/atom; SG = Imm2 (44); energy of formation from the pure elements = -0.1964 eV/atom; magnetization = 0.00 μB per atom
1.0
-5.867 0.239 0.283
-3.328 -1.283 -6.855
-3.144 -6.856 1.681
Ba Tl Pd
1 7 5
direct
0.993 0.007 0.007 Ba
0.638 0.362 0.362 Tl
0.328 0.672 0.672 Tl
0.983 0.362 0.672 Tl
0.983 0.672 0.362 Tl
0.266 0.234 0.234 Tl
0.522 0.780 0.176 Tl
0.522 0.176 0.780 Tl
0.505 0.995 0.486 Pd
0.014 0.995 0.486 Pd
0.505 0.486 0.995 Pd
0.014 0.486 0.995 Pd
0.727 0.773 0.773 Pd

=====

No. 8
PBE-GGA Sr3CaAl8, relaxed; density of states at the Fermi level = 0.6671 states/eV/atom; SG = R3m (160); energy of formation from the pure elements = -0.2786 eV/atom; magnetization = 0.00 μB per atom
1.0
-0.803 -0.476 -9.940
2.778 -4.801 -8.301
-3.013 -5.452 -7.802
Sr Ca Al
3 1 8
direct
0.562 0.562 0.562 Sr
0.437 0.437 0.437 Sr
0.938 0.938 0.938 Sr
0.063 0.063 0.063 Ca
0.750 0.750 0.750 Al
0.250 0.250 0.250 Al
0.001 0.501 0.501 Al
0.498 0.000 0.000 Al
0.501 0.001 0.501 Al
0.000 0.498 0.000 Al
0.501 0.501 0.001 Al
0.000 0.000 0.498 Al

=====

No. 9
PBE-GGA ErPuS2, relaxed; density of states at the Fermi level = 1.8453 states/eV/atom; formation energy from raw total energies = -1893.7 meV per atom; SG = R-3m (166); magnetization = 1.44 μB per atom
1.0
3.891 0.000 0.000
1.946 3.370 0.000
1.946 1.123 6.450
S Er Pu
2 1 1
direct
0.253 0.253 0.242 S
0.747 0.747 0.758 S
0.000 0.000 0.000 Er
0.500 0.500 0.500 Pu

=====

No. 10
PBE-GGA GaTc2Sb, relaxed; density of states at the Fermi level = 1.1623 states/eV/atom; formation energy from raw total energies = 431.2 meV per atom; SG = I-42d (122); magnetization = 0.00 μB per atom
1.0
4.087 0.000 0.000
0.000 4.087 0.000
2.043 2.043 9.044
Sb Tc Ga
2 4 2
direct
0.000 0.000 0.000 Sb
0.750 0.250 0.500 Sb
0.547 0.125 0.250 Tc
0.203 0.625 0.250 Tc
0.375 0.453 0.750 Tc
0.875 0.797 0.750 Tc
0.500 0.500 0.000 Ga
0.250 0.750 0.500 Ga

=====

No. 11
PBE-GGA Y2MgCd, relaxed; density of states at the Fermi level = 1.0776 states/eV/atom; SG = P4/mmm (123); energy of formation from the pure elements = -0.2349 eV/atom; magnetization = 0.00 μB per atom
1.0
-1.883 4.659 1.634
-4.922 -1.913 -0.210
0.292 -1.159 3.647
Y Mg Cd
2 1 1
direct
0.000 0.000 0.000 Y
0.500 0.500 0.000 Y
0.000 0.500 0.500 Mg
0.500 0.000 0.500 Cd

=====

No. 12
PBE-GGA Ga2CoAs2, relaxed; density of states at the Fermi level = 0.6428 states/eV/atom; SG = P4/mbm (127); energy of formation from the pure elements = 0.0379 eV/atom; magnetization = 0.00 μB per atom
1.0
-1.503 -2.113 -5.365
5.766 -0.593 -1.382
-0.039 -4.909 1.944
As Co Ga
4 2 4
direct
0.353 0.853 0.000 As
0.853 0.647 0.000 As
0.647 0.147 0.000 As
0.147 0.353 0.000 As
0.000 0.000 0.000 Co
0.500 0.500 0.000 Co
0.192 0.692 0.500 Ga
0.692 0.808 0.500 Ga
0.808 0.308 0.500 Ga
0.308 0.192 0.500 Ga